1.
RbSnS4, relaxed, DFT PBE; uncorrected formation energy = -13.4 kcal/mol of atoms; E above lowest polymorph = 0 meV per atom; total energy = -4.162 eV per atom
1.0
10.116 0.000 0.000
0.000 20.144 0.000
0.000 0.000 14.186
Rb Sn S
16 16 64
Cartesian
1.415 3.802 0.344 Rb
1.415 16.343 7.437 Rb
2.303 8.639 13.624 Rb
2.303 11.505 6.531 Rb
2.755 1.433 6.531 Rb
2.755 18.711 13.624 Rb
3.643 6.270 7.437 Rb
3.643 13.874 0.344 Rb
6.473 6.270 13.842 Rb
6.473 13.874 6.749 Rb
7.361 1.433 0.562 Rb
7.361 18.711 7.655 Rb
7.813 8.639 7.655 Rb
7.813 11.505 0.562 Rb
8.702 3.802 6.749 Rb
8.702 16.343 13.842 Rb
0.000 1.676 10.640 Sn
0.000 5.442 10.640 Sn
0.000 14.703 3.547 Sn
0.000 18.469 3.547 Sn
1.772 6.565 3.803 Sn
1.772 13.579 10.896 Sn
3.286 3.507 10.896 Sn
3.286 16.637 3.803 Sn
5.058 4.630 3.547 Sn
5.058 8.397 3.547 Sn
5.058 11.748 10.640 Sn
5.058 15.514 10.640 Sn
6.830 3.507 10.383 Sn
6.830 16.637 3.290 Sn
8.344 6.565 3.290 Sn
8.344 13.579 10.383 Sn
0.365 6.645 1.821 S
0.365 13.500 8.914 S
0.638 7.245 8.824 S
0.638 12.899 1.731 S
0.653 0.157 1.756 S
0.653 19.987 8.849 S
1.033 3.551 9.161 S
1.033 16.593 2.068 S
1.429 8.803 9.893 S
1.429 11.341 2.800 S
1.564 1.586 2.905 S
1.564 18.558 9.998 S
2.252 1.548 11.898 S
2.252 18.596 4.805 S
2.346 5.581 11.787 S
2.346 14.563 4.694 S
2.712 4.491 4.694 S
2.712 15.654 11.787 S
2.807 8.524 4.805 S
2.807 11.620 11.898 S
3.494 8.486 9.998 S
3.494 11.658 2.905 S
3.629 1.269 2.800 S
3.629 18.876 9.893 S
4.025 6.521 2.068 S
4.025 13.624 9.161 S
4.405 9.915 8.849 S
4.405 10.229 1.756 S
4.420 2.827 1.731 S
4.420 17.318 8.824 S
4.693 3.428 8.914 S
4.693 16.717 1.821 S
5.423 3.428 12.365 S
5.423 16.717 5.272 S
5.696 2.827 5.362 S
5.696 17.318 12.455 S
5.711 9.915 12.430 S
5.711 10.229 5.337 S
6.091 6.521 5.025 S
6.091 13.624 12.118 S
6.487 1.269 4.293 S
6.487 18.876 11.386 S
6.622 8.486 11.281 S
6.622 11.658 4.188 S
7.310 8.524 2.288 S
7.310 11.620 9.381 S
7.404 4.491 2.399 S
7.404 15.654 9.492 S
7.770 5.581 9.492 S
7.770 14.563 2.399 S
7.865 1.548 9.381 S
7.865 18.596 2.288 S
8.552 1.586 4.188 S
8.552 18.558 11.281 S
8.687 8.803 11.386 S
8.687 11.341 4.293 S
9.083 3.551 12.118 S
9.083 16.593 5.025 S
9.463 0.157 5.337 S
9.463 19.987 12.430 S
9.478 7.245 12.455 S
9.478 12.899 5.362 S
9.751 6.645 5.272 S
9.751 13.500 12.365 S

***

2.
RbSnS4, relaxed, DFT PBE; uncorrected formation energy = -8.5 kcal/mol of atoms; E above lowest polymorph = 213 meV per atom; total energy = -3.949 eV per atom; DOS at the Fermi energy = 1.904 states/eV/f.u.
1.0
3.975 -7.392 0.000
3.975 7.392 0.000
-0.765 0.000 6.537
Rb Sn S
2 2 8
Cartesian
3.401 5.611 4.902 Rb
3.784 -5.611 1.634 Rb
3.784 0.590 1.634 Sn
3.401 -0.590 4.902 Sn
2.970 3.238 2.223 S
1.691 0.821 6.079 S
2.073 -0.821 2.811 S
4.598 3.238 1.045 S
2.588 -3.238 5.492 S
5.112 0.821 3.726 S
5.495 -0.821 0.457 S
4.215 -3.238 4.313 S

***

3.
Rb4SnS5, relaxed, DFT PBE; uncorrected formation energy = -15.9 kcal/mol of atoms; total energy = -3.541 eV per atom; DOS at the Fermi energy = 12.959 states/eV/f.u.
1.0
-5.076 5.076 3.464
5.076 -5.076 3.464
5.076 5.076 -3.464
Rb Sn S
4 1 5
Cartesian
3.002 0.918 0.000 Rb
4.159 -2.074 3.464 Rb
0.918 7.151 0.000 Rb
2.074 4.159 3.464 Rb
0.000 0.000 4.008 Sn
5.816 2.726 -0.090 S
2.726 4.337 -0.090 S
2.350 0.739 3.374 S
-0.739 2.350 3.374 S
0.000 0.000 6.419 S

***

4.
Rb2SrSnS4, relaxed, DFT PBE; uncorrected formation energy = -25.0 kcal/mol of atoms; total energy = -4.099 eV per atom
1.0
-4.178 4.492 6.124
4.178 -4.492 6.124
4.178 4.492 -6.124
Rb Sr Sn S
4 2 2 8
Cartesian
0.000 0.000 0.000 Rb
-2.089 2.246 3.062 Rb
0.000 4.492 0.000 Rb
2.089 2.246 3.062 Rb
4.178 0.000 0.000 Sr
0.000 0.000 6.124 Sr
2.089 2.246 -3.062 Sn
2.089 -2.246 3.062 Sn
4.178 -0.438 2.987 S
4.178 4.054 -2.987 S
2.222 2.246 -0.485 S
6.133 2.246 -0.485 S
-1.955 2.246 6.609 S
1.955 2.246 6.609 S
0.000 0.438 9.111 S
0.000 4.930 3.136 S

***

5.
Rb2TaSnS4, relaxed, DFT PBE; uncorrected formation energy = -20.9 kcal/mol of atoms; total energy = -5.195 eV per atom; DOS at the Fermi energy = 0.877 states/eV/f.u.
1.0
-4.020 4.020 4.133
4.020 -4.020 4.133
4.020 4.020 -4.133
Rb Ta Sn S
2 1 1 4
Cartesian
0.000 0.000 0.000 Rb
0.000 4.020 2.067 Rb
4.020 0.000 2.067 Ta
0.000 0.000 4.133 Sn
2.514 -1.165 3.351 S
2.855 1.506 0.782 S
1.506 5.185 -0.782 S
1.165 2.514 4.915 S

***

6.
RbTbSnS3, relaxed, DFT PBE; uncorrected formation energy = -29.3 kcal/mol of atoms; total energy = -4.934 eV per atom
1.0
2.002 -8.639 0.000
2.002 8.639 0.000
0.000 0.000 11.346
Rb Tb Sn S
2 2 2 6
Cartesian
2.002 5.481 8.510 Rb
2.002 -5.481 2.837 Rb
2.002 0.000 0.000 Tb
2.002 0.000 5.673 Tb
2.002 6.650 2.837 Sn
2.002 -6.650 8.510 Sn
2.002 6.785 0.055 S
2.002 6.785 5.618 S
2.002 0.230 8.510 S
2.002 -0.230 2.837 S
2.002 -6.785 5.728 S
2.002 -6.785 11.291 S

***

7.
RbSn2TeS6, relaxed, DFT PBE; uncorrected formation energy = -7.5 kcal/mol of atoms; total energy = -4.012 eV per atom; DOS at the Fermi energy = 2.478 states/eV/f.u.
1.0
7.354 -5.982 0.000
7.354 5.982 0.000
-3.492 0.000 7.307
Rb Sn Te S
2 4 2 12
Cartesian
4.735 3.665 5.480 Rb
6.481 -3.665 1.827 Rb
3.254 1.175 0.575 Sn
1.508 -1.175 4.229 Sn
9.708 1.175 3.078 Sn
7.962 -1.175 6.731 Sn
6.481 2.813 1.827 Te
4.735 -2.813 5.480 Te
1.866 2.569 6.749 S
-0.295 0.074 5.600 S
1.451 -0.074 1.947 S
4.755 1.346 2.659 S
7.604 2.569 4.211 S
8.207 1.346 0.994 S
3.008 -1.346 6.313 S
3.612 -2.569 3.096 S
6.461 -1.346 4.647 S
9.764 0.074 5.360 S
11.511 -0.074 1.706 S
9.350 -2.569 0.558 S

***

8.
Rb2Sn2Te2S, relaxed, DFT PBE; uncorrected formation energy = -14.1 kcal/mol of atoms; total energy = -3.519 eV per atom
1.0
5.028 0.000 0.000
2.471 7.987 0.000
2.450 3.616 7.199
Rb Sn Te S
2 2 2 1
Cartesian
1.233 2.315 1.551 Rb
8.716 9.288 5.648 Rb
3.723 5.836 1.984 Sn
6.226 5.767 5.215 Sn
3.728 3.968 4.247 Te
6.221 7.635 2.953 Te
3.750 3.994 0.000 S

***

9.
RbSnTe2S6, relaxed, DFT PBE; uncorrected formation energy = -4.0 kcal/mol of atoms; total energy = -3.776 eV per atom; DOS at the Fermi energy = 1.524 states/eV/f.u.
1.0
6.047 -7.456 0.000
6.047 7.456 0.000
-4.775 0.000 8.278
Rb Sn Te S
2 2 4 12
Cartesian
2.466 5.776 6.208 Rb
4.853 -5.776 2.069 Rb
4.853 4.469 2.069 Sn
2.466 -4.469 6.208 Sn
0.274 1.119 6.979 Te
2.662 -1.119 2.840 Te
4.657 1.119 5.438 Te
7.045 -1.119 1.299 Te
-1.750 1.285 5.588 S
0.254 3.373 8.111 S
0.638 -1.285 1.449 S
1.916 0.571 4.254 S
4.678 3.373 4.305 S
4.304 -0.571 0.115 S
3.016 0.571 8.163 S
2.641 -3.373 3.972 S
5.403 -0.571 4.024 S
6.682 1.285 6.829 S
7.066 -3.373 0.167 S
9.069 -1.285 2.690 S

***

10.
Rb2TlSnS4, relaxed, DFT PBE; uncorrected formation energy = -13.4 kcal/mol of atoms; total energy = -3.684 eV per atom; DOS at the Fermi energy = 3.085 states/eV/f.u.
1.0
-4.066 4.527 6.143
4.066 -4.527 6.143
4.066 4.527 -6.143
Rb Tl Sn S
4 2 2 8
Cartesian
0.000 0.000 0.000 Rb
-2.033 2.263 3.071 Rb
0.000 4.527 0.000 Rb
2.033 2.263 3.071 Rb
4.066 0.000 0.000 Tl
0.000 0.000 6.143 Tl
2.033 2.263 -3.071 Sn
2.033 -2.263 3.071 Sn
4.066 -0.466 2.997 S
4.066 4.061 -2.997 S
2.218 2.263 -0.486 S
5.915 2.263 -0.486 S
-1.848 2.263 6.629 S
1.848 2.263 6.629 S
0.000 0.466 9.140 S
0.000 4.992 3.146 S

***

11.
Rb3Tm2SnS6, relaxed, DFT PBE; uncorrected formation energy = -33.5 kcal/mol of atoms; total energy = -4.839 eV per atom; DOS at the Fermi energy = 4.749 states/eV/f.u.
1.0
3.510 -6.081 0.000
3.510 6.081 0.000
-2.337 0.000 7.649
Rb Tm Sn S
3 2 1 6
Cartesian
0.000 0.000 0.000 Rb
3.510 2.007 0.000 Rb
3.510 -2.007 0.000 Rb
2.342 4.052 3.824 Tm
2.342 -4.052 3.824 Tm
2.342 0.000 3.824 Sn
1.156 2.053 2.370 S
-0.029 0.000 5.276 S
1.156 -2.053 2.370 S
3.528 2.053 5.279 S
4.713 0.000 2.373 S
3.528 -2.053 5.279 S

***

12.
RbTmSnS3, relaxed, DFT PBE; uncorrected formation energy = -29.4 kcal/mol of atoms; total energy = -4.912 eV per atom
1.0
1.967 -8.712 0.000
1.967 8.712 0.000
0.000 0.000 11.193
Rb Tm Sn S
2 2 2 6
Cartesian
1.967 5.480 8.395 Rb
1.967 -5.480 2.798 Rb
1.967 0.000 0.000 Tm
1.967 0.000 5.596 Tm
1.967 6.704 2.798 Sn
1.967 -6.704 8.395 Sn
1.967 6.891 0.022 S
1.967 6.891 5.574 S
1.967 0.240 8.395 S
1.967 -0.240 2.798 S
1.967 -6.891 5.619 S
1.967 -6.891 11.171 S

***

13.
Rb3Tm3SnS8, relaxed, DFT PBE; uncorrected formation energy = -36.0 kcal/mol of atoms; total energy = -5.115 eV per atom
1.0
3.950 2.281 7.847
-3.950 2.281 7.847
0.000 -4.562 7.847
Rb Tm Sn S
3 3 1 8
Cartesian
-1.975 -1.140 7.847 Rb
-1.975 1.140 15.695 Rb
0.000 2.281 7.847 Rb
-3.950 0.000 11.771 Tm
-1.975 1.140 3.924 Tm
1.975 1.140 3.924 Tm
0.000 0.000 11.771 Sn
0.000 0.000 5.392 S
-1.907 -1.101 13.221 S
0.000 -2.202 10.321 S
-1.907 1.101 10.321 S
1.907 -1.101 13.221 S
0.000 2.202 13.221 S
1.907 1.101 10.321 S
0.000 0.000 18.150 S

***

14.
Rb2USnS6, relaxed, DFT PBE; uncorrected formation energy = -21.2 kcal/mol of atoms; total energy = -5.118 eV per atom; DOS at the Fermi energy = 0.769 states/eV/f.u.
1.0
3.630 2.095 5.856
-3.630 2.095 5.856
0.000 -4.191 5.856
Rb U Sn S
2 1 1 6
Cartesian
0.000 0.000 4.380 Rb
0.000 0.000 13.186 Rb
0.000 0.000 8.783 U
0.000 0.000 0.000 Sn
-0.256 -2.070 7.326 S
-1.921 -0.814 10.241 S
-1.665 1.257 7.326 S
1.665 -1.257 10.241 S
1.921 0.814 7.326 S
0.256 2.070 10.241 S

***

15.
RbSnW2S, relaxed, DFT PBE; uncorrected formation energy = 27.3 kcal/mol of atoms; total energy = -5.819 eV per atom; DOS at the Fermi energy = 5.604 states/eV/f.u.
1.0
4.553 0.000 0.000
0.000 4.553 0.000
0.000 0.000 5.776
Rb Sn W S
1 1 2 1
Cartesian
0.000 0.000 0.000 Rb
2.277 2.277 0.000 Sn
0.000 2.277 2.888 W
2.277 0.000 2.888 W
0.000 0.000 2.888 S

***

16.
Rb2YSnS4, relaxed, DFT PBE; uncorrected formation energy = -24.7 kcal/mol of atoms; total energy = -4.685 eV per atom; DOS at the Fermi energy = 3.971 states/eV/f.u.
1.0
0.000 7.409 12.024
3.406 0.000 12.024
3.406 7.409 0.000
Rb Y Sn S
4 2 2 8
Cartesian
2.555 5.557 1.422 Rb
4.258 9.261 7.434 Rb
2.555 5.557 16.615 Rb
4.258 9.261 22.627 Rb
0.852 1.852 3.006 Y
5.961 12.966 21.042 Y
2.555 5.557 9.018 Sn
4.258 9.261 15.030 Sn
2.556 3.334 4.270 S
4.256 7.038 10.282 S
2.553 7.780 4.270 S
2.553 3.334 13.767 S
4.259 11.484 10.282 S
4.259 7.038 19.779 S
2.556 7.780 13.767 S
4.256 11.484 19.779 S